# 1
Compound: Ac6Ni2Te3As
Source: Alexandria
Functional: PBE
Structure: relaxed

spin magnetization: 0.0 μB/cell
formation energy (no corrections): -1.034 eV per atom

Unit cell a=7.7715 b=13.4360 c=8.3189 alpha=90.00 beta=108.43 gamma=90.00
Space group C2/m (No. 12)
Unique sites:
Ac: 0.2268 0.0000 0.2144 x4
Ac: 0.2424 0.3277 0.2169 x8
Ni: 0.0000 0.1677 0.0000 x4
Te: 0.0000 0.0000 0.5000 x2
Te: 0.0000 0.3391 0.5000 x4
As: 0.0000 0.5000 0.0000 x2

***

# 2
Compound: NdPuTl2O6
Source: Alexandria
Functional: PBE
Structure: relaxed

spin magnetization: 3.0 μB/cell
formation energy (no corrections): -2.122 eV per atom

Unit cell a=6.2332 b=6.2332 c=15.2664 alpha=90.00 beta=90.00 gamma=120.00
Space group R-3 (No. 148, hexagonal axes)
Unique sites:
Nd: 0.0000 0.0000 0.0000 x3
Pu: 0.0000 0.0000 0.5000 x3
Tl: 0.0000 0.0000 0.2499 x6
O: 0.0265 0.5171 0.2434 x18

***

# 3
Compound: Ca3Pd4Pt
Source: Alexandria
Functional: PBE
Structure: relaxed

formation energy from the elements: -590 meV/atom
spin magnetization: 0.0 μB/cell

Unit cell a=4.4427 b=8.8473 c=8.5035 alpha=90.00 beta=90.00 gamma=90.00
Space group Pmmn (No. 59, origin choice 2)
Unique sites:
Ca: 0.2500 0.0294 0.1639 x4
Ca: 0.2500 0.7500 0.6073 x2
Pd: 0.2500 0.0870 0.5748 x4
Pd: 0.2500 0.7500 0.2966 x2
Pd: 0.2500 0.7500 0.9479 x2
Pt: 0.2500 0.2500 0.8766 x2

***

# 4
Compound: Pa5GaTc4
Source: Alexandria
Functional: PBE
Structure: relaxed

formation energy from the elements: -187 meV/atom
spin magnetization: 0.0 μB/cell

Unit cell a=3.3217 b=3.3217 c=18.8188 alpha=90.00 beta=90.00 gamma=90.00
Space group P4/mmm (No. 123)
Unique sites:
Pa: 0.0000 0.0000 0.0000 x1
Pa: 0.0000 0.0000 0.1923 x2
Pa: 0.0000 0.0000 0.3837 x2
Ga: 0.5000 0.5000 0.5000 x1
Tc: 0.5000 0.5000 0.1008 x2
Tc: 0.5000 0.5000 0.2870 x2

***

# 5
Compound: BeP2Rh
Source: Alexandria
Functional: PBE
Structure: relaxed

formation energy from the elements: 109 meV/atom
spin magnetization: 0.0 μB/cell

Unit cell a=2.8114 b=2.8114 c=6.4205 alpha=90.00 beta=90.00 gamma=90.00
Space group P4/mmm (No. 123)
Unique sites:
Be: 0.0000 0.0000 0.0000 x1
P: 0.5000 0.5000 0.2446 x2
Rh: 0.0000 0.0000 0.5000 x1

***

# 6
Compound: VTcIr
Source: Alexandria
Functional: PBE
Structure: relaxed

formation energy from the elements: -233 meV/atom
ΔE to the lowest computed polymorph: 56 meV/atom
spin magnetization: 0.0 μB/cell

Unit cell a=4.6583 b=2.8964 c=6.7305 alpha=90.00 beta=109.69 gamma=90.00
Space group Cm (No. 8)
Unique sites:
V: 0.0000 0.0000 0.0000 x2
Tc: 0.3372 0.0000 0.6862 x2
Ir: 0.3265 0.5000 0.3298 x2

***

# 7
Compound: Ac6La5Ho
Source: Alexandria
Functional: PBE
Structure: relaxed

formation energy from the elements: 26 meV/atom
spin magnetization: 0.0 μB/cell

Unit cell a=5.4866 b=10.7508 c=16.3762 alpha=90.00 beta=90.00 gamma=90.00
Space group Immm (No. 71)
Unique sites:
Ac: 0.0000 0.2477 0.0000 x4
Ac: 0.0000 0.2521 0.3343 x8
La: 0.0000 0.0000 0.1656 x4
La: 0.0000 0.0000 0.5000 x2
La: 0.0000 0.5000 0.1663 x4
Ho: 0.0000 0.5000 0.5000 x2

***

# 8
Compound: Na3CuGe
Source: Alexandria
Functional: PBE
Structure: relaxed

formation energy from the elements: 482 meV/atom
ΔE to the lowest computed polymorph: 413 meV/atom
spin magnetization: 0.0 μB/cell

Unit cell a=5.2545 b=5.2545 c=5.2545 alpha=90.00 beta=90.00 gamma=90.00
Space group Pm-3m (No. 221)
Unique sites:
Na: 0.0000 0.0000 0.5000 x3
Cu: 0.0000 0.0000 0.0000 x1
Ge: 0.5000 0.5000 0.5000 x1

***

# 9
Compound: La4Os5
Source: Alexandria
Functional: PBE
Structure: relaxed

formation energy from the elements: 327 meV/atom
ΔE to the lowest computed polymorph: 0 meV/atom
spin magnetization: 0.0 μB/cell

Unit cell a=9.1917 b=9.1917 c=4.5764 alpha=90.00 beta=90.00 gamma=90.00
Space group I4/mmm (No. 139)
Unique sites:
La: 0.0000 0.3002 0.0000 x8
Os: 0.0000 0.0000 0.0000 x2
Os: 0.1442 0.1442 0.5000 x8